1.
DFT (PBE) results for a geometry-optimized CaCo2Au structure.

Magnetization   3.494 μB per formula unit
Formation enthalpy at 0 K   105 kJ/mol of formula units
SG   F-43m
Crystal system   cubic
DOS at the Fermi energy   5.810 states/eV/f.u.
Energy   -4.6013 eV/atom

Geometry as POSCAR:
```
CaCo2Au
1.0
4.583 0.000 0.000
2.292 3.969 0.000
2.292 1.323 3.742
Ca Co Au
1 2 1
direct
0.750 0.750 0.750 Ca
0.000 0.000 0.000 Co
0.250 0.250 0.250 Co
0.500 0.500 0.500 Au
```



2.
DFT (PBE) results for a geometry-optimized La3Tb5Sm4 structure.

Magnetization   0.000 μB per formula unit
Formation enthalpy at 0 K   23 kJ/mol of formula units
SG   P-1
Polymorph energy (0 for the lowest one)   0 meV/atom
Crystal system   triclinic
DOS at the Fermi energy   17.761 states/eV/f.u.
Energy   -4.7139 eV/atom

Geometry as POSCAR:
```
La3Tb5Sm4
1.0
6.993 -0.372 1.898
-5.236 7.550 -6.873
4.075 -3.854 11.824
La Tb Sm
3 5 4
direct
0.000 0.000 0.500 La
0.417 0.835 0.667 La
0.583 0.165 0.333 La
0.668 0.333 0.165 Tb
0.251 0.498 0.998 Tb
0.500 0.000 0.500 Tb
0.749 0.502 0.002 Tb
0.332 0.667 0.835 Tb
0.832 0.663 0.832 Sm
0.917 0.837 0.670 Sm
0.083 0.163 0.330 Sm
0.168 0.337 0.168 Sm
```



3.
DFT (PBE) results for a geometry-optimized MgZn2Pb structure.

Magnetization   0.000 μB per formula unit
Formation enthalpy at 0 K   28 kJ/mol of formula units
SG   C2/m
Polymorph energy (0 for the lowest one)   32 meV/atom
Crystal system   monoclinic
DOS at the Fermi energy   1.672 states/eV/f.u.
Energy   -1.8894 eV/atom

Geometry as POSCAR:
```
MgZn2Pb
1.0
4.960 -0.030 0.009
3.780 3.212 0.009
1.023 0.372 5.389
Pb Zn Mg
1 2 1
direct
0.750 0.750 0.750 Pb
0.507 0.507 0.445 Zn
0.993 0.993 0.055 Zn
0.250 0.250 0.250 Mg
```



4.
DFT (PBE) results for a geometry-optimized Cs4La3DyO8 structure.

Magnetization   0.000 μB per formula unit
SG   R-3m
Crystal system   trigonal
Formation energy (no corrections)   -41.28 eV per formula unit
DOS at the Fermi energy   0.000 states/eV/f.u.
Energy   -6.4838 eV/atom

Geometry as POSCAR:
```
Cs4La3DyO8
1.0
7.449 0.000 0.000
0.000 8.145 0.473
-3.724 -3.714 5.275
La Cs O Dy
3 4 8 1
direct
0.500 0.500 0.000 La
0.000 0.500 0.500 La
0.500 0.500 0.500 La
0.000 0.000 0.500 Cs
0.000 0.000 0.000 Cs
0.500 0.000 0.500 Cs
0.500 0.000 0.000 Cs
0.277 0.331 0.554 O
0.723 0.669 0.446 O
0.216 0.668 0.951 O
0.784 0.332 0.567 O
0.265 0.332 0.049 O
0.784 0.332 0.049 O
0.216 0.668 0.433 O
0.735 0.668 0.951 O
0.000 0.500 0.000 Dy
```



5.
DFT (PBE) results for a geometry-optimized CoRh3S structure.

Magnetization   4.930 μB per formula unit
SG   Pm-3m
Polymorph energy (0 for the lowest one)   802 meV/atom
Crystal system   cubic
Formation energy (no corrections)   6.27 eV per formula unit
DOS at the Fermi energy   6.639 states/eV/f.u.
Energy   -5.4043 eV/atom

Geometry as POSCAR:
```
CoRh3S
1.0
-4.037 0.482 -1.878
1.301 -2.544 -3.448
-1.438 -3.654 2.153
Rh Co S
3 1 1
direct
0.500 0.000 0.000 Rh
0.000 0.000 0.500 Rh
0.000 0.500 0.000 Rh
0.000 0.000 0.000 Co
0.500 0.500 0.500 S
```



6.
DFT (PBE) results for a geometry-optimized HfBe3Pd structure.

Magnetization   0.000 μB per formula unit
Formation enthalpy at 0 K   870 kJ/mol of formula units
SG   Pm-3m
Polymorph energy (0 for the lowest one)   1661 meV/atom
Crystal system   cubic
DOS at the Fermi energy   3.722 states/eV/f.u.
Energy   -3.4611 eV/atom

Geometry as POSCAR:
```
HfBe3Pd
1.0
-3.541 0.752 -2.758
2.265 -1.942 -3.437
-1.745 -4.046 1.136
Hf Be Pd
1 3 1
direct
0.000 0.000 0.000 Hf
0.500 0.000 0.000 Be
0.000 0.000 0.500 Be
0.000 0.500 0.000 Be
0.500 0.500 0.500 Pd
```



7.
DFT (PBE) results for a geometry-optimized BaSrAu structure.

Magnetization   0.000 μB per formula unit
Formation enthalpy at 0 K   33 kJ/mol of formula units
SG   F-43m
Polymorph energy (0 for the lowest one)   628 meV/atom
Crystal system   cubic
DOS at the Fermi energy   4.258 states/eV/f.u.
Energy   -2.1817 eV/atom

Geometry as POSCAR:
```
BaSrAu
1.0
-1.877 1.603 4.868
-4.004 -2.797 2.437
1.066 -2.974 4.450
Au Ba Sr
1 1 1
direct
0.500 0.500 0.500 Au
0.750 0.750 0.750 Ba
0.000 0.000 0.000 Sr
```



8.
DFT (PBE) results for a geometry-optimized Cu2HF8 structure.

Magnetization   2.475 μB per formula unit
SG   C2/m
Crystal system   monoclinic
DOS at the Fermi energy   6.785 states/eV/f.u.
Energy   -3.3209 eV/atom

Geometry as POSCAR:
```
Cu2HF8
1.0
3.763 -0.208 -0.158
-0.345 6.381 0.258
-0.345 1.967 6.076
F Cu H
8 2 1
direct
0.761 0.583 0.583 F
0.106 0.260 0.952 F
0.239 0.417 0.417 F
0.106 0.952 0.260 F
0.894 0.740 0.048 F
0.671 0.252 0.252 F
0.329 0.748 0.748 F
0.894 0.048 0.740 F
0.170 0.248 0.248 Cu
0.830 0.752 0.752 Cu
0.000 0.000 0.000 H
```



9.
DFT (PBE) results for a geometry-optimized In2FeSnSb structure.

Magnetization   3.225 μB per formula unit
SG   P4/mmm
Crystal system   tetragonal
Formation energy (no corrections)   5.76 eV per formula unit
DOS at the Fermi energy   11.212 states/eV/f.u.
Energy   -3.2609 eV/atom

Geometry as POSCAR:
```
In2FeSnSb
1.0
-4.677 1.274 2.862
0.785 -4.712 3.380
3.040 3.085 3.595
In Fe Sn Sb
2 1 1 1
direct
0.000 0.000 0.500 In
0.500 0.000 0.000 In
0.500 0.500 0.500 Fe
0.000 0.500 0.000 Sn
0.000 0.000 0.000 Sb
```



10.
DFT (PBE) results for a geometry-optimized CaCo2I structure.

Magnetization   1.315 μB per formula unit
SG   I-42d
Polymorph energy (0 for the lowest one)   0 meV/atom
Crystal system   tetragonal
Formation energy (no corrections)   1.70 eV per formula unit
DOS at the Fermi energy   4.174 states/eV/f.u.
Energy   -4.0171 eV/atom

Geometry as POSCAR:
```
CaCo2I
1.0
-2.951 -0.995 -3.537
3.329 -2.643 -2.035
-2.564 -8.504 1.392
Co I Ca
4 2 2
direct
0.907 0.625 0.250 Co
0.843 0.125 0.250 Co
0.875 0.093 0.750 Co
0.375 0.157 0.750 Co
0.000 0.000 0.000 I
0.750 0.250 0.500 I
0.250 0.750 0.500 Ca
0.500 0.500 0.000 Ca
```



11.
DFT (PBE) results for a geometry-optimized K3Dy3PaTe8 structure.

Magnetization   1.033 μB per formula unit
SG   R-3m
Crystal system   trigonal
Formation energy (no corrections)   -19.18 eV per formula unit
DOS at the Fermi energy   3.351 states/eV/f.u.
Energy   -4.7272 eV/atom

Geometry as POSCAR:
```
K3Dy3PaTe8
1.0
-1.478 8.612 -1.804
-4.336 -6.322 -4.563
-2.773 1.476 9.318
K Te Dy Pa
3 8 3 1
direct
0.500 0.500 0.000 K
0.000 0.000 0.000 K
0.000 0.500 0.000 K
0.264 0.528 0.292 Te
0.734 0.971 0.707 Te
0.736 0.472 0.708 Te
0.236 0.971 0.707 Te
0.236 0.473 0.707 Te
0.266 0.029 0.293 Te
0.764 0.527 0.293 Te
0.764 0.029 0.293 Te
0.500 0.000 0.500 Dy
0.000 0.500 0.500 Dy
0.500 0.500 0.500 Dy
0.000 0.000 0.500 Pa
```



12.
DFT (PBE) results for a geometry-optimized SmSeN structure.

Magnetization   0.000 μB per formula unit
SG   P2_1/c
Polymorph energy (0 for the lowest one)   0 meV/atom
Crystal system   monoclinic
Formation energy (no corrections)   -3.58 eV per formula unit
DOS at the Fermi energy   1.100 states/eV/f.u.
Energy   -6.7047 eV/atom

Geometry as POSCAR:
```
SmSeN
1.0
4.112 0.000 0.000
0.000 8.324 0.671
0.000 1.366 8.675
Sm N Se
4 4 4
direct
0.744 0.916 0.336 Sm
0.756 0.416 0.336 Sm
0.256 0.084 0.664 Sm
0.244 0.584 0.664 Sm
0.931 0.485 0.059 N
0.569 0.985 0.059 N
0.431 0.015 0.941 N
0.069 0.515 0.941 N
0.751 0.829 0.683 Se
0.249 0.171 0.317 Se
0.251 0.671 0.317 Se
0.749 0.329 0.683 Se
```